<i>
AcHoIr2 | PBE-GGA | optimized geometry

a b c (Å): 5.051 5.051 5.051
angles (deg): 60.00 60.00 60.00
Fractional positions:
Ac  0.000  0.000  0.000
Ho  0.500  0.500  0.500
Ir  0.250  0.250  0.250
Ir  0.750  0.750  0.750

## Properties
The total magnetization comes out at 0.00 μB/atom. As for the space-group type: Fm-3m, No. 225. The density of states at the Fermi level is 4.063 states/eV/f.u.

<ii>
AcHoIr2 | PBE-GGA | optimized geometry

a b c (Å): 3.351 5.400 5.400
angles (deg): 89.99 90.00 90.00
Fractional positions:
Ac  0.000  0.000  0.000
Ho  0.500  0.501  0.501
Ir  0.500  0.001  0.500
Ir  0.500  0.500  0.001

## Properties
The total magnetization comes out at 0.00 μB/atom. As for the space-group type: Amm2, No. 38. The density of states at the Fermi level is 1.192 states/eV/f.u.

<iii>
AcHoIr2 | PBE-GGA | optimized geometry

a b c (Å): 3.508 3.508 7.345
angles (deg): 90.00 90.00 90.00
Fractional positions:
Ac  0.000  0.000  0.000
Ho  0.000  0.000  0.500
Ir  0.500  0.500  0.280
Ir  0.500  0.500  0.720

## Properties
The total magnetization comes out at 0.05 μB/atom. As for the space-group type: P4/mmm, No. 123. The density of states at the Fermi level is 3.251 states/eV/f.u.

The least stable of them is <ii>.

<i>
AcLaHo | PBE-GGA | optimized geometry

a b c (Å): 8.236 8.236 8.236
angles (deg): 153.26 153.26 38.17
Fractional positions:
Ac  0.000  0.000  0.000
La  0.324  0.324  0.000
Ho  0.667  0.667  0.000

## Properties
The total magnetization comes out at 0.00 μB/atom. As for the space-group type: I4mm, No. 107. The density of states at the Fermi level is 5.428 states/eV/f.u.

<ii>
AcLaHo | PBE-GGA | optimized geometry

a b c (Å): 5.897 5.897 3.703
angles (deg): 90.00 90.00 120.00
Fractional positions:
Ac  0.000  0.000  0.000
La  0.333  0.667  0.501
Ho  0.667  0.333  0.499

## Properties
The total magnetization comes out at 0.00 μB/atom. As for the space-group type: P3m1, No. 156. The density of states at the Fermi level is 4.572 states/eV/f.u.

The least stable of them is <ii>.

<i>
AcLa2Ho | PBE-GGA | optimized geometry

a b c (Å): 6.499 6.499 6.499
angles (deg): 131.87 131.87 70.43
Fractional positions:
Ac  0.000  0.000  0.000
La  0.250  0.750  0.500
La  0.750  0.250  0.500
Ho  0.500  0.500  0.000

## Properties
The total magnetization comes out at 0.00 μB/atom. As for the space-group type: I4/mmm, No. 139. The density of states at the Fermi level is 7.800 states/eV/f.u.

<ii>
AcLa2Ho | PBE-GGA | optimized geometry

a b c (Å): 5.276 5.276 5.311
angles (deg): 90.00 90.00 90.00
Fractional positions:
Ac  0.000  0.000  0.000
La  0.000  0.500  0.500
La  0.500  0.000  0.500
Ho  0.500  0.500  0.000

## Properties
The total magnetization comes out at 0.00 μB/atom. As for the space-group type: P4/mmm, No. 123. The density of states at the Fermi level is 5.127 states/eV/f.u.

<iii>
AcLa2Ho | PBE-GGA | optimized geometry

a b c (Å): 12.414 12.414 12.414
angles (deg): 17.46 17.46 17.46
Fractional positions:
Ac  0.000  0.000  0.000
La  0.245  0.245  0.245
La  0.420  0.420  0.420
Ho  0.832  0.832  0.832

## Properties
The total magnetization comes out at 0.00 μB/atom. As for the space-group type: R3m, No. 160. The density of states at the Fermi level is 6.581 states/eV/f.u.

The least stable of them is <iii>.